1.
A geometry-optimized Ta2V2Re structure. Source: Alexandria, functional PBE.

```
5
Lattice="-1.916 1.916 5.733 1.916 -1.916 5.733 1.916 1.916 -5.733" Properties=species:S:1:pos:R:3 pbc="T T T"
Ta 1.916 0.000 2.866
Ta 0.000 1.916 2.866
V 0.000 0.000 0.943
V 0.000 0.000 10.522
Re 0.000 0.000 5.733
```

Results
size of the total moment = 0.0091 μB per atom
space-group type = I4/mmm
excess energy over the best structure of this formula in the dataset = 1006 meV/atom
formation energy from the elements = 0.86 eV per atom
crystal system = tetragonal

2.
A geometry-optimized Er3ZrAg3Te8 structure. Source: Alexandria, functional PBE.

```
15
Lattice="7.457 -4.305 0.000 7.457 4.305 0.000 -4.991 0.000 7.146" Properties=species:S:1:pos:R:3 pbc="T T T"
Er 0.000 0.000 0.000
Er 3.729 2.152 0.000
Er 3.729 -2.152 0.000
Zr 7.457 0.000 0.000
Ag 1.233 2.152 3.573
Ag 1.233 -2.152 3.573
Ag 4.962 0.000 3.573
Te 2.486 0.000 1.818
Te 0.061 0.000 5.414
Te 3.668 2.082 5.414
Te 6.255 2.082 1.732
Te 3.668 -2.082 5.414
Te 6.255 -2.082 1.732
Te 9.862 0.000 1.732
Te 7.437 0.000 5.328
```

Results
size of the total moment = 0.0000 μB per atom
space-group type = C2/m
uncorrected formation energy = -811 meV/atom
crystal system = monoclinic